A plane-wave DFT calculation with PBE was carried out for crystalline NiPbAu2 at its relaxed geometry.

Cell and atoms, written as POSCAR:
```
NiPbAu2
1.0
3.344 -0.013 0.000
0.014 3.344 0.000
0.000 0.000 6.765
Au Ni Pb
2 1 1
Cartesian
0.000 0.000 0.244
1.679 1.666 1.863
0.000 0.000 3.165
1.679 1.666 4.875
```

Values from the calculation:
Spin magnetization (μB per cell): 0.00
Electronic total energy (eV/atom): -3.870
ΔH_f (0 K) (eV per formula unit): 0.6